Entry 1:
A plane-wave DFT calculation with GGA-PBEsol was carried out for Pr after structural relaxation.

**DFT total energy**: -10.2 eV/cell
**Energy relative to the elements**: 1.94 kcal/mol of atoms
**E above lowest polymorph**: 0.08 eV/f.u.

Cell lengths 4.2925, 4.2925, 3.6426 Å; angles 90.00, 90.00, 90.00 degrees
Last column: nearest neighbours and their distance in Å.
Space group I4/mmm (No. 139)
Inequivalent atoms, fractional coordinates:
1 Pr 0.0000 0.0000 0.0000 (multiplicity 2)  10 Pr 3.54-3.64

***

Entry 2:
A plane-wave DFT calculation with GGA-PBEsol was carried out for ZnFe2ReSe after structural relaxation.

**Formation energy (no corrections)**: 1.0569 eV/atom
**DFT total energy**: -31.4 eV/cell

Cell lengths 4.2281, 4.2281, 4.5535 Å; angles 90.00, 90.00, 90.00 degrees
Last column: nearest neighbours and their distance in Å.
Space group P4/mmm (No. 123)
Inequivalent atoms, fractional coordinates:
1 Zn 0.0000 0.0000 0.0000 (multiplicity 1)  4 Re 2.99, 8 Fe 3.11
2 Fe 0.0000 0.5000 0.5000 (multiplicity 2)  2 Se 2.11
3 Re 0.5000 0.5000 0.0000 (multiplicity 1)  2 Se 2.28
4 Se 0.5000 0.5000 0.5000 (multiplicity 1)  4 Fe 2.11, 2 Re 2.28

***

Entry 3:
A plane-wave DFT calculation with GGA-PBEsol was carried out for MnMo2Au after structural relaxation.

**DFT total energy**: -36.4 eV/cell
**Energy relative to the elements**: 4.78 kcal/mol of atoms
**E above lowest polymorph**: 0.03 eV/f.u.

Cell lengths 3.1963, 3.1963, 5.8888 Å; angles 90.00, 90.00, 90.00 degrees
Last column: nearest neighbours and their distance in Å.
Space group P4mm (No. 99)
Inequivalent atoms, fractional coordinates:
1 Mn 0.0000 0.0000 0.0000 (multiplicity 1)  5 Mo 2.66-2.77, 4 Au 2.68
2 Mo 0.0000 0.0000 0.4700 (multiplicity 1)  4 Mo 2.64, 1 Mn 2.77, 4 Au 2.82
3 Mo 0.5000 0.5000 0.2370 (multiplicity 1)  4 Mo 2.64, 4 Mn 2.66, 1 Au 2.83
4 Au 0.5000 0.5000 0.7561 (multiplicity 1)  4 Mn 2.68, 5 Mo 2.82-2.83